## SiAu4 (PBE-GGA)

Data for a relaxed structure of SiAu4.

Output
ΔE_f (raw)	27	kJ/mol of formula units
magnetic moment	0.00	μB/atom
calculated volume	378.7	Å³/cell
energy	-3.65	eV per atom

Unit cell a=7.8478 b=7.8478 c=6.1482 alpha=90.00 beta=90.00 gamma=90.00
Space group I4_1/amd (No. 141, origin choice 2)
Inequivalent atoms, fractional coordinates:
Si 0.0000 0.2500 0.3750 [4 per cell]
Au 0.0000 0.0610 0.7196 [16 per cell]